DFT (PBE) results for KAl2SnS6 after structural relaxation.

a = 7.6825 Å, b = 9.2316 Å, c = 9.2316 Å
α = 89.49°, β = 69.48°, γ = 69.48°
Last column: magnetic moment on the atom in μB.
Atoms (fractional coordinates):
S  0.3110  0.1835  0.0640  0.04
Sn  0.2500  0.1801  0.8199  0.01
Al  0.3999  0.7556  0.6083  0.00
Al  0.8999  0.6083  0.7556  0.00
S  0.1890  0.9360  0.8165  0.04
S  0.8329  0.3479  0.4136  0.27
S  0.1671  0.6521  0.5864  0.27
S  0.5662  0.1317  0.6124  0.00
K  0.7500  0.1460  0.8540  0.00
S  0.4338  0.8683  0.3876  0.00
Al  0.6001  0.2444  0.3917  0.00
S  0.0662  0.6124  0.1317  0.00
S  0.6671  0.5864  0.6521  0.27
S  0.3329  0.4136  0.3479  0.27
S  0.8110  0.0640  0.1835  0.04
Al  0.1001  0.3917  0.2444  0.00
S  0.9338  0.3876  0.8683  0.00
Sn  0.7500  0.8199  0.1801  0.01
K  0.2500  0.8540  0.1460  0.00
S  0.6890  0.8165  0.9360  0.04

## Properties
- magnetic moment (μB/f.u.) = 1.0
- formation energy from raw total energies (eV/atom) = -0.717
- E (Ry/atom) = -0.3272